1.
Entry from the Open Quantum Materials Database: crystalline BaLi2Zn2 at its relaxed geometry (GGA-PBE).

extended XYZ file:
```
5
Lattice="-4.153 2.903 4.444 -6.711 0.101 -0.613 5.245 -4.221 -0.314" Properties=species:S:1:pos:R:3 pbc="T T T"
Ba 0.000 0.000 0.000
Li -2.170 0.092 3.023
Li -3.449 -1.309 0.494
Zn -4.165 1.152 1.469
Zn -6.698 1.852 2.362
```



2.
Entry from the Open Quantum Materials Database: crystalline LaNd2Si4Ni2Ir2 at its relaxed geometry (GGA-PBE).

extended XYZ file:
```
11
Lattice="11.618 -3.930 -1.589 9.994 -6.412 3.460 -11.794 2.840 -2.407" Properties=species:S:1:pos:R:3 pbc="T T T"
Ir 5.385 -2.577 0.466
Ir 16.227 -7.765 1.405
La 0.000 0.000 0.000
Nd 7.590 -4.218 -1.334
Nd 2.229 -3.283 0.797
Ni 2.036 -1.561 -1.815
Ni 7.783 -5.940 1.278
Si 9.700 -4.642 0.840
Si 11.912 -5.700 1.031
Si 4.141 -2.568 -1.632
Si 5.678 -4.933 1.095
```



3.
Entry from the Open Quantum Materials Database: crystalline Na11Zn2Sb5 at its relaxed geometry (GGA-PBE).

extended XYZ file:
```
36
Lattice="8.910 0.000 0.000 -3.227 10.208 0.000 -1.397 -3.241 10.897" Properties=species:S:1:pos:R:3 pbc="T T T"
Na -1.015 6.689 0.347
Na 0.525 1.574 0.627
Na 4.359 5.686 0.809
Na 6.032 0.391 0.815
Na 1.036 7.319 2.658
Na 5.496 3.123 3.006
Na 4.116 8.335 3.108
Na -0.478 1.354 3.869
Na -2.156 6.253 3.917
Na 2.245 -0.733 5.024
Na 0.703 4.471 5.204
Na 3.583 2.496 5.693
Na 2.041 7.700 5.873
Na 6.442 0.713 6.980
Na 4.764 5.613 7.028
Na 0.170 -1.368 7.789
Na -1.210 3.843 7.891
Na 3.250 -0.352 8.239
Na -1.746 6.575 10.082
Na -0.073 1.281 10.088
Na 3.761 5.393 10.270
Na 5.301 0.278 10.549
Sb 3.574 2.537 0.411
Sb -2.028 9.084 2.088
Sb -0.466 4.156 2.177
Sb 5.232 0.169 4.065
Sb 3.585 5.425 4.070
Sb 0.701 1.542 6.827
Sb -0.947 6.798 6.831
Sb 4.751 2.811 8.720
Sb 6.313 -2.117 8.809
Sb 0.711 4.430 10.486
Zn 3.259 0.571 2.303
Zn 2.189 3.955 2.327
Zn 2.097 3.012 8.570
Zn 1.027 6.395 8.594
```



Number 1: total DFT energy (no corrections) -8.7 eV for the cell shown. Number 2: total DFT energy (no corrections) -74.9 eV for the cell shown. Number 3: total DFT energy (no corrections) -90.0 eV for the cell shown.